i) Density functional theory data (GGA+U) for an optimized crystal structure of CrBIO2.

The space-group type is No. 123. The calculation puts the size of the total moment at 2.50 μB/f.u.

Cell lengths 3.6555, 3.6555, 7.4302 Å; angles 90.00, 90.00, 90.00 degrees
Atoms (fractional coordinates):
1 B 0.5000 0.5000 0.5000
2 O 0.5000 0.0000 0.0000
3 Cr 0.0000 0.0000 0.0000
4 O 0.0000 0.5000 0.0000
5 I 0.0000 0.0000 0.5000

=====

ii) Density functional theory data (GGA+U) for an optimized crystal structure of CrBIO2.

The space-group type is No. 123. The calculation puts the size of the total moment at 4.64 μB/f.u.

Cell lengths 3.5578, 3.5578, 5.8726 Å; angles 90.00, 90.00, 90.00 degrees
Atoms (fractional coordinates):
1 I 0.0000 0.0000 0.5000
2 Cr 0.5000 0.5000 0.5000
3 B 0.0000 0.0000 0.0000
4 O 0.0000 0.5000 0.0000
5 O 0.5000 0.0000 0.0000

=====

Stability check: which of them is least stable? ii).

=====

i) Density functional theory data (GGA+U) for an optimized crystal structure of CrBI2O.

The space-group type is No. 123. The calculation puts the size of the total moment at 2.99 μB/f.u.

Cell lengths 5.7008, 5.7008, 3.6932 Å; angles 90.00, 90.00, 90.00 degrees
Atoms (fractional coordinates):
1 Cr 0.0000 0.0000 0.0000
2 I 0.5000 0.0000 0.0000
3 B 0.5000 0.5000 0.5000
4 O 0.0000 0.0000 0.5000
5 I 0.0000 0.5000 0.0000

=====

ii) Density functional theory data (GGA+U) for an optimized crystal structure of CrBI2O.

The space-group type is No. 123. The calculation puts the size of the total moment at 5.07 μB/f.u.

Cell lengths 5.7748, 5.7748, 3.0783 Å; angles 90.00, 90.00, 90.00 degrees
Atoms (fractional coordinates):
1 O 0.0000 0.0000 0.5000
2 B 0.0000 0.0000 0.0000
3 I 0.0000 0.5000 0.0000
4 I 0.5000 0.0000 0.0000
5 Cr 0.5000 0.5000 0.5000

=====

Stability check: which of them is least stable? i).